<w>
# RbPdCl2

A relaxed RbPdCl2 crystal (PBE, Alexandria).

Properties
Density of states at the Fermi level (states/eV/f.u.): 7.92
Spin magnetization (μB/cell): 3.126

Cell lengths 5.0455, 5.0455, 23.3595 Å; angles 90.00, 90.00, 120.00 degrees
Space group R-3m (No. 166, hexagonal axes)
Symmetry-distinct sites (fractional):
Rb  0.0000  0.0000  0.0000 x3
Pd  0.0000  0.0000  0.5000 x3
Cl  0.0000  0.0000  0.4011 x6

***

<x>
# RbPdCl2

A relaxed RbPdCl2 crystal (PBE, Alexandria).

Properties
Density of states at the Fermi level (states/eV/f.u.): 10.30
Spin magnetization (μB/cell): 4.000

Cell lengths 7.3321, 7.3321, 7.3321 Å; angles 90.00, 90.00, 90.00 degrees
Space group Fm-3m (No. 225)
Symmetry-distinct sites (fractional):
Rb  0.0000  0.0000  0.0000 x4
Pd  0.0000  0.0000  0.5000 x4
Cl  0.2500  0.2500  0.2500 x8

***

Result of the stability comparison: <x> is the least stable of them.

***

<w>
# RbPd2Cl

A relaxed RbPd2Cl crystal (PBE, Alexandria).

Properties
Density of states at the Fermi level (states/eV/f.u.): 2.72
Spin magnetization (μB/cell): 0.000

Cell lengths 7.0288, 7.0288, 7.0288 Å; angles 90.00, 90.00, 90.00 degrees
Space group Fm-3m (No. 225)
Symmetry-distinct sites (fractional):
Rb  0.0000  0.0000  0.0000 x4
Pd  0.2500  0.2500  0.2500 x8
Cl  0.0000  0.0000  0.5000 x4

***

<x>
# RbPd2Cl

A relaxed RbPd2Cl crystal (PBE, Alexandria).

Properties
Density of states at the Fermi level (states/eV/f.u.): 0.58
Spin magnetization (μB/cell): 0.000

Cell lengths 5.5285, 5.5285, 15.4135 Å; angles 90.00, 90.00, 90.00 degrees
Space group I4_1/amd (No. 141, origin choice 2)
Symmetry-distinct sites (fractional):
Rb  0.0000  0.2500  0.3750 x4
Pd  0.0000  0.0000  0.0000 x8
Cl  0.0000  0.2500  0.8750 x4

***

Result of the stability comparison: <w> is the least stable of them.